# 1
An optimized crystal structure of NaTc3Bi. Source: the Alexandria database, functional PBE-GGA.

Lattice parameters (Å, degrees): 5.1646 5.1646 5.1646 90.00 90.00 90.00
Element x y z (fractional)
1 Na 0.0000 0.0000 0.0000
2 Tc 0.0000 0.5000 0.5000
3 Tc 0.5000 0.0000 0.5000
4 Tc 0.5000 0.5000 0.0000
5 Bi 0.5000 0.5000 0.5000

Computed properties:
Calculated formation energy (kJ/mol of atoms): 202
DFT total energy (eV per atom): -5.165
Symmetry: No. 221
Polymorph energy (0 for the lowest one) (eV per atom): 0.000

---

# 2
An optimized crystal structure of NaYTcBi2. Source: the Alexandria database, functional PBE-GGA.

Lattice parameters (Å, degrees): 5.9508 5.9508 5.1412 90.00 90.00 90.00
Element x y z (fractional)
1 Na 0.0000 0.0000 0.0000
2 Y 0.5000 0.5000 0.5000
3 Tc 0.5000 0.5000 0.0000
4 Bi 0.0000 0.5000 0.5000
5 Bi 0.5000 0.0000 0.5000

Computed properties:
Calculated formation energy (kJ/mol of atoms): 76
DFT total energy (eV per atom): -4.394
Symmetry: No. 123

---

# 3
An optimized crystal structure of NaYTc2Bi. Source: the Alexandria database, functional PBE-GGA.

Lattice parameters (Å, degrees): 4.8035 4.8035 5.0832 90.00 90.00 90.00
Element x y z (fractional)
1 Na 0.0000 0.0000 0.0000
2 Y 0.5000 0.5000 0.5000
3 Tc 0.0000 0.5000 0.0000
4 Tc 0.5000 0.0000 0.0000
5 Bi 0.0000 0.0000 0.5000

Computed properties:
Calculated formation energy (kJ/mol of atoms): 143
DFT total energy (eV per atom): -4.995
Symmetry: No. 123

---

# 4
An optimized crystal structure of Na2Bi2Te. Source: the Alexandria database, functional PBE-GGA.

Lattice parameters (Å, degrees): 7.2153 7.2153 7.2153 137.34 137.34 61.92
Element x y z (fractional)
1 Na 0.2500 0.7500 0.5000
2 Na 0.7500 0.2500 0.5000
3 Bi 0.1134 0.1134 0.0000
4 Bi 0.8866 0.8866 0.0000
5 Te 0.5000 0.5000 0.0000

Computed properties:
DFT total energy (eV per atom): -2.583
Symmetry: No. 139
E_form (uncorrected) (meV/atom): 125.1
Polymorph energy (0 for the lowest one) (eV per atom): 0.356

---

# 5
An optimized crystal structure of Na5BiTe5. Source: the Alexandria database, functional PBE-GGA.

Lattice parameters (Å, degrees): 8.7776 8.7776 7.3860 101.75 101.75 42.05
Element x y z (fractional)
1 Na 0.0000 0.0000 0.0000
2 Na 0.3253 0.3253 0.6423
3 Na 0.3341 0.3341 0.1753
4 Na 0.6659 0.6659 0.8247
5 Na 0.6747 0.6747 0.3577
6 Bi 0.0000 0.0000 0.5000
7 Te 0.1575 0.1575 0.3126
8 Te 0.1595 0.1595 0.8390
9 Te 0.5000 0.5000 0.5000
10 Te 0.8405 0.8405 0.1610
11 Te 0.8425 0.8425 0.6874

Computed properties:
DFT total energy (eV per atom): -2.957
Symmetry: No. 12
E_form (uncorrected) (meV/atom): -576.9

---

# 6
An optimized crystal structure of Na2Bi2Te. Source: the Alexandria database, functional PBE-GGA.

Lattice parameters (Å, degrees): 9.5755 9.5755 3.4461 90.00 90.00 90.00
Element x y z (fractional)
1 Na 0.1893 0.3107 0.0000
2 Na 0.3107 0.8107 0.0000
3 Na 0.6893 0.1893 0.0000
4 Na 0.8107 0.6893 0.0000
5 Bi 0.1072 0.6072 0.5000
6 Bi 0.3928 0.1072 0.5000
7 Bi 0.6072 0.8928 0.5000
8 Bi 0.8928 0.3928 0.5000
9 Te 0.0000 0.0000 0.0000
10 Te 0.5000 0.5000 0.0000

Computed properties:
DFT total energy (eV per atom): -2.877
Symmetry: No. 127
E_form (uncorrected) (meV/atom): -168.8
Polymorph energy (0 for the lowest one) (eV per atom): 0.062

---

# 7
An optimized crystal structure of Na2BiTe. Source: the Alexandria database, functional PBE-GGA.

Lattice parameters (Å, degrees): 5.4481 5.4481 5.4481 60.00 60.00 60.00
Element x y z (fractional)
1 Na 0.2500 0.2500 0.2500
2 Na 0.7500 0.7500 0.7500
3 Bi 0.0000 0.0000 0.0000
4 Te 0.5000 0.5000 0.5000

Computed properties:
DFT total energy (eV per atom): -2.747
Symmetry: No. 225
E_form (uncorrected) (meV/atom): -331.9
Polymorph energy (0 for the lowest one) (eV per atom): 0.118

---

# 8
An optimized crystal structure of Na2BiTe2. Source: the Alexandria database, functional PBE-GGA.

Lattice parameters (Å, degrees): 8.5468 8.5468 4.2391 90.00 90.00 90.00
Element x y z (fractional)
1 Na 0.1348 0.3652 0.0000
2 Na 0.3652 0.8652 0.0000
3 Na 0.6348 0.1348 0.0000
4 Na 0.8652 0.6348 0.0000
5 Bi 0.0000 0.0000 0.5000
6 Bi 0.5000 0.5000 0.5000
7 Te 0.1710 0.6710 0.5000
8 Te 0.3290 0.1710 0.5000
9 Te 0.6710 0.8290 0.5000
10 Te 0.8290 0.3290 0.5000

Computed properties:
DFT total energy (eV per atom): -3.099
Symmetry: No. 127
E_form (uncorrected) (meV/atom): -538.6
Polymorph energy (0 for the lowest one) (eV per atom): 0.000

---

# 9
An optimized crystal structure of NaBiTe3. Source: the Alexandria database, functional PBE-GGA.

Lattice parameters (Å, degrees): 14.2800 14.2800 5.5797 90.00 90.00 150.45
Element x y z (fractional)
1 Na 0.1029 0.8971 0.7500
2 Na 0.8971 0.1029 0.2500
3 Bi 0.2766 0.7234 0.7500
4 Bi 0.7234 0.2766 0.2500
5 Te 0.0000 0.0000 0.0000
6 Te 0.0000 0.0000 0.5000
7 Te 0.0711 0.4563 0.2500
8 Te 0.4563 0.0711 0.7500
9 Te 0.5437 0.9289 0.2500
10 Te 0.9289 0.5437 0.7500

Computed properties:
DFT total energy (eV per atom): -3.078
Symmetry: No. 63
E_form (uncorrected) (meV/atom): -153.0
Polymorph energy (0 for the lowest one) (eV per atom): 0.000

---

# 10
An optimized crystal structure of Na3BiTe2. Source: the Alexandria database, functional PBE-GGA.

Lattice parameters (Å, degrees): 9.2128 9.2128 9.2128 130.10 69.68 134.68
Element x y z (fractional)
1 Na 0.0249 0.7500 0.2749
2 Na 0.2500 0.2500 0.0000
3 Na 0.4751 0.7500 0.7251
4 Na 0.5249 0.2500 0.2749
5 Na 0.7500 0.7500 0.0000
6 Na 0.9751 0.2500 0.7251
7 Bi 0.0000 0.5000 0.5000
8 Bi 0.5000 0.0000 0.5000
9 Te 0.1392 0.2044 0.3437
10 Te 0.3608 0.7044 0.0652
11 Te 0.6392 0.2956 0.9348
12 Te 0.8608 0.7956 0.6563

Computed properties:
DFT total energy (eV per atom): -2.930
Symmetry: No. 72
E_form (uncorrected) (meV/atom): -576.4

---

# 11
An optimized crystal structure of NaBi2Te. Source: the Alexandria database, functional PBE-GGA.

Lattice parameters (Å, degrees): 7.3095 7.3095 7.3095 100.75 100.75 128.82
Element x y z (fractional)
1 Na 0.0000 0.0000 0.0000
2 Na 0.7500 0.2500 0.5000
3 Bi 0.1529 0.6250 0.0279
4 Bi 0.3750 0.4029 0.5279
5 Bi 0.5971 0.1250 0.9721
6 Bi 0.8750 0.8471 0.4721
7 Te 0.2500 0.7500 0.5000
8 Te 0.5000 0.5000 0.0000

Computed properties:
DFT total energy (eV per atom): -3.133
Symmetry: No. 122
E_form (uncorrected) (meV/atom): -77.1

---

# 12
An optimized crystal structure of NaBi3Te4. Source: the Alexandria database, functional PBE-GGA.

Lattice parameters (Å, degrees): 6.4558 12.8444 6.5105 90.00 90.00 90.00
Element x y z (fractional)
1 Na 0.2500 0.2500 0.2345
2 Na 0.7500 0.7500 0.7655
3 Bi 0.2500 0.9998 0.7581
4 Bi 0.2500 0.5002 0.7581
5 Bi 0.2500 0.7500 0.2670
6 Bi 0.7500 0.0002 0.2419
7 Bi 0.7500 0.2500 0.7330
8 Bi 0.7500 0.4998 0.2419
9 Te 0.2500 0.2500 0.7362
10 Te 0.2500 0.5065 0.2732
11 Te 0.2500 0.7500 0.7815
12 Te 0.2500 0.9935 0.2732
13 Te 0.7500 0.0065 0.7268
14 Te 0.7500 0.2500 0.2185
15 Te 0.7500 0.4935 0.7268
16 Te 0.7500 0.7500 0.2638

Computed properties:
DFT total energy (eV per atom): -3.498
Symmetry: No. 59
E_form (uncorrected) (meV/atom): -306.8
Polymorph energy (0 for the lowest one) (eV per atom): 0.000

---

# 13
An optimized crystal structure of Na2BiTe2. Source: the Alexandria database, functional PBE-GGA.

Lattice parameters (Å, degrees): 8.4754 8.4754 8.4754 149.86 149.86 43.15
Element x y z (fractional)
1 Na 0.2500 0.7500 0.5000
2 Na 0.7500 0.2500 0.5000
3 Bi 0.0000 0.0000 0.0000
4 Te 0.3893 0.3893 0.0000
5 Te 0.6107 0.6107 0.0000

Computed properties:
DFT total energy (eV per atom): -2.778
Symmetry: No. 139
E_form (uncorrected) (meV/atom): -217.8
Polymorph energy (0 for the lowest one) (eV per atom): 0.321

---

# 14
An optimized crystal structure of Na2BiTe. Source: the Alexandria database, functional PBE-GGA.

Lattice parameters (Å, degrees): 3.4158 3.5717 9.4184 89.98 89.88 87.27
Element x y z (fractional)
1 Na 0.0013 0.0017 0.2644
2 Na 0.9987 0.9983 0.7356
3 Bi 0.5000 0.5000 0.0000
4 Te 0.5000 0.5000 0.5000

Computed properties:
DFT total energy (eV per atom): -2.865
Symmetry: No. 2
E_form (uncorrected) (meV/atom): -450.2
Polymorph energy (0 for the lowest one) (eV per atom): 0.000

---

# 15
An optimized crystal structure of NaBi3Te4. Source: the Alexandria database, functional PBE-GGA.

Lattice parameters (Å, degrees): 7.9409 7.9409 4.5634 90.00 90.00 108.27
Element x y z (fractional)
1 Na 0.0000 0.0000 0.0000
2 Bi 0.0000 0.5000 0.5000
3 Bi 0.5000 0.0000 0.5000
4 Bi 0.5000 0.5000 0.0000
5 Te 0.2529 0.7471 0.0000
6 Te 0.2598 0.2598 0.5000
7 Te 0.7402 0.7402 0.5000
8 Te 0.7471 0.2529 0.0000

Computed properties:
DFT total energy (eV per atom): -3.483
Symmetry: No. 65
E_form (uncorrected) (meV/atom): -291.4
Polymorph energy (0 for the lowest one) (eV per atom): 0.015

---

# 16
An optimized crystal structure of Na2Bi2Te. Source: the Alexandria database, functional PBE-GGA.

Lattice parameters (Å, degrees): 8.3041 8.3041 4.7832 90.00 90.00 90.00
Element x y z (fractional)
1 Na 0.1710 0.3290 0.0000
2 Na 0.3290 0.8290 0.0000
3 Na 0.6710 0.1710 0.0000
4 Na 0.8290 0.6710 0.0000
5 Bi 0.1308 0.6308 0.5000
6 Bi 0.3692 0.1308 0.5000
7 Bi 0.6308 0.8692 0.5000
8 Bi 0.8692 0.3692 0.5000
9 Te 0.0000 0.0000 0.5000
10 Te 0.5000 0.5000 0.5000

Computed properties:
DFT total energy (eV per atom): -2.939
Symmetry: No. 127
E_form (uncorrected) (meV/atom): -230.7
Polymorph energy (0 for the lowest one) (eV per atom): 0.000

---

# 17
An optimized crystal structure of NaBiTe3. Source: the Alexandria database, functional PBE-GGA.

Lattice parameters (Å, degrees): 5.9766 5.9766 5.9766 90.00 90.00 90.00
Element x y z (fractional)
1 Na 0.0000 0.0000 0.0000
2 Bi 0.5000 0.5000 0.5000
3 Te 0.0000 0.5000 0.5000
4 Te 0.5000 0.0000 0.5000
5 Te 0.5000 0.5000 0.0000

Computed properties:
DFT total energy (eV per atom): -2.842
Symmetry: No. 221
E_form (uncorrected) (meV/atom): 82.9
Polymorph energy (0 for the lowest one) (eV per atom): 0.236

---

# 18
An optimized crystal structure of Na3BiTe3. Source: the Alexandria database, functional PBE-GGA.

Lattice parameters (Å, degrees): 8.1520 8.1520 8.4338 94.90 94.90 112.74
Element x y z (fractional)
1 Na 0.1584 0.8416 0.0000
2 Na 0.2053 0.7947 0.5000
3 Na 0.3815 0.3815 0.8522
4 Na 0.6185 0.6185 0.1478
5 Na 0.7947 0.2053 0.5000
6 Na 0.8416 0.1584 0.0000
7 Bi 0.2720 0.2720 0.3944
8 Bi 0.7280 0.7280 0.6056
9 Te 0.0483 0.0483 0.7342
10 Te 0.2047 0.5246 0.2053
11 Te 0.4754 0.7953 0.7947
12 Te 0.5246 0.2047 0.2053
13 Te 0.7953 0.4754 0.7947
14 Te 0.9517 0.9517 0.2658

Computed properties:
DFT total energy (eV per atom): -3.037
Symmetry: No. 12
E_form (uncorrected) (meV/atom): -570.6

---

# 19
An optimized crystal structure of Na2BiTe. Source: the Alexandria database, functional PBE-GGA.

Lattice parameters (Å, degrees): 7.0157 7.0157 7.0157 102.09 102.09 125.52
Element x y z (fractional)
1 Na 0.1032 0.1250 0.4782
2 Na 0.3750 0.8968 0.0217
3 Na 0.6468 0.6250 0.5218
4 Na 0.8750 0.3532 0.9782
5 Bi 0.2500 0.7500 0.5000
6 Bi 0.5000 0.5000 0.0000
7 Te 0.0000 0.0000 0.0000
8 Te 0.7500 0.2500 0.5000

Computed properties:
DFT total energy (eV per atom): -2.733
Symmetry: No. 122
E_form (uncorrected) (meV/atom): -318.1
Polymorph energy (0 for the lowest one) (eV per atom): 0.132

---

# 20
An optimized crystal structure of Na2BiTe2. Source: the Alexandria database, functional PBE-GGA.

Lattice parameters (Å, degrees): 9.1840 9.1840 8.1819 90.00 90.00 152.07
Element x y z (fractional)
1 Na 0.0393 0.9607 0.5000
2 Na 0.1720 0.8280 0.2286
3 Na 0.8280 0.1720 0.7286
4 Na 0.9607 0.0393 0.0000
5 Bi 0.3576 0.6424 0.3902
6 Bi 0.6424 0.3576 0.8902
7 Te 0.2171 0.7829 0.6039
8 Te 0.4566 0.5434 0.6970
9 Te 0.5434 0.4566 0.1970
10 Te 0.7829 0.2171 0.1039

Computed properties:
DFT total energy (eV per atom): -3.086
Symmetry: No. 36
E_form (uncorrected) (meV/atom): -525.3
Polymorph energy (0 for the lowest one) (eV per atom): 0.013